No. 1
VASP calculation (PBE) on a relaxed Bi2Pd8Pt crystal.

Cell lengths 4.084, 8.148, 11.757 Å; angles 90.00, 90.00, 90.00 degrees
Space group Immm (No. 71)
Unique sites:
Bi (0.000, 0.000, 0.159) x4
Pd (0.000, 0.249, 0.339) x8
Pd (0.000, 0.259, 0.000) x4
Pd (0.000, 0.500, 0.168) x4
Pt (0.000, 0.000, 0.500) x2

Computed properties:
Volume in Å³/cell: 391.2
VASP energy in eV/atom: -5.206
E above lowest polymorph in meV/atom: 0
Energy of formation from the pure elements in kcal/mol of atoms: -4.033

=====

No. 2
VASP calculation (PBE) on a relaxed Li5Zn24 crystal.

Cell lengths 9.581, 9.581, 9.581 Å; angles 90.00, 90.00, 90.00 degrees
Space group I-43m (No. 217)
Unique sites:
Li (0.000, 0.000, 0.000) x2
Li (0.181, 0.181, 0.181) x8
Zn (0.045, 0.360, 0.640) x24
Zn (0.092, 0.092, 0.718) x24

Computed properties:
Volume in Å³/cell: 879.5
VASP energy in eV/atom: -1.483
Energy of formation from the pure elements in kcal/mol of atoms: -2.269

=====

No. 3
VASP calculation (PBE) on a relaxed PrAgBiAu crystal.

Cell lengths 7.366, 7.366, 7.366 Å; angles 90.00, 90.00, 90.00 degrees
Space group F-43m (No. 216)
Unique sites:
Pr (0.000, 0.000, 0.000) x4
Ag (0.250, 0.250, 0.250) x4
Bi (0.000, 0.000, 0.500) x4
Au (0.250, 0.250, 0.750) x4

Computed properties:
Volume in Å³/cell: 399.6
VASP energy in eV/atom: -4.151
Energy of formation from the pure elements in kcal/mol of atoms: -10.455

=====

No. 4
VASP calculation (PBE) on a relaxed CuNi4Sn2 crystal.

Cell lengths 4.279, 4.279, 12.910 Å; angles 90.00, 90.00, 90.00 degrees
Space group I4/mmm (No. 139)
Unique sites:
Cu (0.000, 0.000, 0.000) x2
Ni (0.000, 0.000, 0.179) x4
Ni (0.000, 0.500, 0.000) x4
Sn (0.000, 0.000, 0.370) x4

Computed properties:
Volume in Å³/cell: 236.3
VASP energy in eV/atom: -4.573
Energy of formation from the pure elements in kcal/mol of atoms: 10.588

=====

No. 5
VASP calculation (PBE) on a relaxed ErScRu crystal.

Cell lengths 7.2990, 7.2990, 4.1348 Å; angles 90.00, 90.00, 120.00 degrees
Space group P-62m (No. 189)
Unique sites:
Er (0.0000, 0.4141, 0.0000) x3
Sc (0.0000, 0.7480, 0.5000) x3
Ru (0.0000, 0.0000, 0.0000) x1
Ru (0.3333, 0.6667, 0.5000) x2

Computed properties:
Volume in Å³/cell: 190.8
VASP energy in eV/atom: -7.178
E above lowest polymorph in meV/atom: 0
Energy of formation from the pure elements in kcal/mol of atoms: -10.481

=====

No. 6
VASP calculation (PBE) on a relaxed SrLiMg4In2 crystal.

Cell lengths 4.9984, 4.9984, 27.2773 Å; angles 90.00, 90.00, 120.00 degrees
Space group R-3m (No. 166, hexagonal axes)
Unique sites:
Sr (0.0000, 0.0000, 0.0000) x3
Li (0.0000, 0.0000, 0.5000) x3
Mg (0.0000, 0.0000, 0.1323) x6
Mg (0.0000, 0.0000, 0.3969) x6
In (0.0000, 0.0000, 0.2482) x6

Computed properties:
Volume in Å³/cell: 590.2
VASP energy in eV/atom: -2.078
Energy of formation from the pure elements in kcal/mol of atoms: -3.383

=====

No. 7
VASP calculation (PBE) on a relaxed Pm7Hg2C2 crystal.

Cell lengths 11.255, 7.758, 6.799 Å; angles 90.00, 96.42, 90.00 degrees
Space group C2/m (No. 12)
Unique sites:
Pm (0.000, 0.000, 0.000) x2
Pm (0.061, 0.500, 0.790) x4
Pm (0.226, 0.279, 0.235) x8
Hg (0.000, 0.182, 0.500) x4
C (0.237, 0.000, 0.026) x4

Computed properties:
Volume in Å³/cell: 590.0
VASP energy in eV/atom: -4.847
Energy of formation from the pure elements in kcal/mol of atoms: -2.110

=====

No. 8
VASP calculation (PBE) on a relaxed Co2NiOs crystal.

Cell lengths 2.6160, 2.6160, 24.3751 Å; angles 90.00, 90.00, 120.00 degrees
Space group R3m (No. 160, hexagonal axes)
Unique sites:
Co (0.0000, 0.0000, 0.0000) x3
Co (0.0000, 0.0000, 0.1698) x3
Ni (0.0000, 0.0000, 0.5853) x3
Os (0.0000, 0.0000, 0.7514) x3

Computed properties:
Volume in Å³/cell: 144.5
VASP energy in eV/atom: -7.666
E above lowest polymorph in meV/atom: 27
Energy of formation from the pure elements in kcal/mol of atoms: 3.211

=====

No. 9
VASP calculation (PBE) on a relaxed MoN crystal.

Cell lengths 7.788, 9.242, 5.095 Å; angles 90.00, 100.50, 90.00 degrees
Space group C2/m (No. 12)
Unique sites:
Mo (0.014, 0.000, 0.258) x4
Mo (0.127, 0.500, 0.771) x4
Mo (0.209, 0.318, 0.275) x8
N (0.000, 0.187, 0.500) x4
N (0.000, 0.368, 0.000) x4
N (0.172, 0.130, 0.051) x8

Computed properties:
Volume in Å³/cell: 360.6
Energy relative to the elements, uncorrected in meV/atom: 36.3
VASP energy in eV/atom: -9.542

=====

No. 10
VASP calculation (PBE) on a relaxed Ce2Pm3Rh2 crystal.

Cell lengths 12.171, 3.779, 9.103 Å; angles 90.00, 113.13, 90.00 degrees
Space group C2/m (No. 12)
Unique sites:
Ce (0.175, 0.000, 0.325) x4
Pm (0.000, 0.500, 0.500) x2
Pm (0.113, 0.500, 0.925) x4
Rh (0.189, 0.000, 0.738) x4

Computed properties:
Volume in Å³/cell: 385.0
VASP energy in eV/atom: -6.279
Energy of formation from the pure elements in kcal/mol of atoms: -10.305

=====

No. 11
VASP calculation (PBE) on a relaxed Nd2DyTm crystal.

Cell lengths 3.6152, 3.6152, 34.9654 Å; angles 90.00, 90.00, 120.00 degrees
Space group R3m (No. 160, hexagonal axes)
Unique sites:
Nd (0.0000, 0.0000, 0.0000) x3
Nd (0.0000, 0.0000, 0.1672) x3
Dy (0.0000, 0.0000, 0.7505) x3
Tm (0.0000, 0.0000, 0.5830) x3

Computed properties:
Volume in Å³/cell: 395.8
VASP energy in eV/atom: -4.631
E above lowest polymorph in meV/atom: 7
Energy of formation from the pure elements in kcal/mol of atoms: 0.486

=====

No. 12
VASP calculation (PBE) on a relaxed Tl2TeAs crystal.

Cell lengths 4.009, 4.009, 7.477 Å; angles 90.00, 90.00, 90.00 degrees
Space group P4mm (No. 99)
Unique sites:
Tl (0.000, 0.000, 0.000) x1
Tl (0.500, 0.500, 0.269) x1
Te (0.500, 0.500, 0.697) x1
As (0.000, 0.000, 0.583) x1

Computed properties:
Volume in Å³/cell: 120.2
Energy relative to the elements, uncorrected in meV/atom: 41.7
VASP energy in eV/atom: -3.089
E above lowest polymorph in meV/atom: 34

=====

No. 13
VASP calculation (PBE) on a relaxed Ho2Ga2Rh5Au crystal.

Cell lengths 9.691, 9.691, 3.647 Å; angles 90.00, 90.00, 90.00 degrees
Space group P4/mbm (No. 127)
Unique sites:
Ho (0.176, 0.324, 0.000) x4
Ga (0.123, 0.623, 0.000) x4
Rh (0.000, 0.500, 0.500) x2
Rh (0.069, 0.792, 0.500) x8
Au (0.000, 0.000, 0.000) x2

Computed properties:
Volume in Å³/cell: 342.6
VASP energy in eV/atom: -6.196
Energy of formation from the pure elements in kcal/mol of atoms: -15.476

=====

No. 14
VASP calculation (PBE) on a relaxed BaScIr2 crystal.

Cell lengths 6.746, 7.745, 3.282 Å; angles 90.00, 90.00, 90.00 degrees
Space group Cmmm (No. 65)
Unique sites:
Ba (0.000, 0.000, 0.000) x2
Sc (0.000, 0.500, 0.000) x2
Ir (0.250, 0.250, 0.500) x4

Computed properties:
Volume in Å³/cell: 171.5
VASP energy in eV/atom: -6.389
E above lowest polymorph in meV/atom: 401
Energy of formation from the pure elements in kcal/mol of atoms: 2.433

=====

No. 15
VASP calculation (PBE) on a relaxed Cs2AgI4 crystal.

Cell lengths 8.791, 6.630, 13.858 Å; angles 90.00, 96.11, 90.00 degrees
Space group P2_1/m (No. 11)
Unique sites:
Cs (0.206, 0.250, 0.396) x2
Cs (0.231, 0.250, 0.952) x2
Ag (0.296, 0.750, 0.732) x2
I (0.058, 0.750, 0.852) x2
I (0.226, 0.750, 0.533) x2
I (0.446, 0.505, 0.191) x4

Computed properties:
Volume in Å³/cell: 803.0
Energy relative to the elements, uncorrected in meV/atom: -956.1
VASP energy in eV/atom: -2.493
E above lowest polymorph in meV/atom: 0

=====

No. 16
VASP calculation (PBE) on a relaxed BeZnTc2 crystal.

Cell lengths 3.574, 3.574, 17.991 Å; angles 90.00, 90.00, 90.00 degrees
Space group I-42d (No. 122)
Unique sites:
Be (0.000, 0.000, 0.000) x4
Zn (0.000, 0.000, 0.500) x4
Tc (0.236, 0.250, 0.125) x8

Computed properties:
Volume in Å³/cell: 229.9
VASP energy in eV/atom: -5.946
E above lowest polymorph in meV/atom: 525
Energy of formation from the pure elements in kcal/mol of atoms: 11.228

=====

No. 17
VASP calculation (PBE) on a relaxed PrSm3Tm3 crystal.

Cell lengths 8.6600, 8.6600, 21.9990 Å; angles 90.00, 90.00, 120.00 degrees
Space group R-3 (No. 148, hexagonal axes)
Unique sites:
Pr (0.0000, 0.0000, 0.1540) x6
Sm (0.0505, 0.4482, 0.3803) x18
Tm (0.0051, 0.2299, 0.5585) x18

Computed properties:
Volume in Å³/cell: 1428.8
VASP energy in eV/atom: -4.423
E above lowest polymorph in meV/atom: 180
Energy of formation from the pure elements in kcal/mol of atoms: 4.575

=====

No. 18
VASP calculation (PBE) on a relaxed ZnOs8 crystal.

Cell lengths 8.211, 8.211, 3.852 Å; angles 90.00, 90.00, 90.00 degrees
Space group I4/mmm (No. 139)
Unique sites:
Zn (0.000, 0.000, 0.000) x2
Os (0.000, 0.340, 0.000) x8
Os (0.173, 0.173, 0.500) x8

Computed properties:
Volume in Å³/cell: 259.7
VASP energy in eV/atom: -9.956
Energy of formation from the pure elements in kcal/mol of atoms: 3.853

=====

No. 19
VASP calculation (PBE) on a relaxed Rb2HfFeI6 crystal.

Cell lengths 11.522, 11.522, 11.522 Å; angles 90.00, 90.00, 90.00 degrees
Space group Fm-3m (No. 225)
Unique sites:
Rb (0.250, 0.250, 0.250) x8
Hf (0.000, 0.000, 0.000) x4
Fe (0.000, 0.000, 0.500) x4
I (0.000, 0.000, 0.252) x24

Computed properties:
Volume in Å³/cell: 1529.8
Energy relative to the elements, uncorrected in meV/atom: -698.2
VASP energy in eV/atom: -3.663

=====

No. 20
VASP calculation (PBE) on a relaxed CeTm4As5 crystal.

Cell lengths 9.145, 9.145, 5.792 Å; angles 90.00, 90.00, 90.00 degrees
Space group I4/m (No. 87)
Unique sites:
Ce (0.000, 0.000, 0.000) x2
Tm (0.101, 0.699, 0.500) x8
As (0.000, 0.000, 0.500) x2
As (0.100, 0.697, 0.000) x8

Computed properties:
Volume in Å³/cell: 484.4
VASP energy in eV/atom: -6.192
Energy of formation from the pure elements in kcal/mol of atoms: -34.243

=====

No. 21
VASP calculation (PBE) on a relaxed ThAlCuAu6 crystal.

Cell lengths 7.480, 8.815, 11.103 Å; angles 90.00, 90.00, 90.00 degrees
Space group Imma (No. 74)
Unique sites:
Th (0.000, 0.250, 0.216) x4
Al (0.000, 0.000, 0.000) x4
Cu (0.250, 0.250, 0.750) x4
Au (0.000, 0.250, 0.514) x4
Au (0.000, 0.250, 0.904) x4
Au (0.200, 0.010, 0.373) x16

Computed properties:
Volume in Å³/cell: 732.1
VASP energy in eV/atom: -4.084
Energy of formation from the pure elements in kcal/mol of atoms: -4.687

=====

No. 22
VASP calculation (PBE) on a relaxed LiDyScSi crystal.

Cell lengths 6.804, 6.804, 6.804 Å; angles 90.00, 90.00, 90.00 degrees
Space group F-43m (No. 216)
Unique sites:
Li (0.000, 0.000, 0.000) x4
Dy (0.250, 0.250, 0.750) x4
Sc (0.250, 0.250, 0.250) x4
Si (0.000, 0.000, 0.500) x4

Computed properties:
Volume in Å³/cell: 315.0
Energy relative to the elements, uncorrected in meV/atom: -381.0
VASP energy in eV/atom: -4.949